Computed, not measured: a crystal of Al2V3Si3O12 relaxed with PBEsol at the SCAN level of DFT.

Lattice parameters (Å, degrees): 10.018 10.018 10.018 109.47 109.47 109.47
Element x y z (fractional)
Al 0.000 0.000 0.000
Al 0.000 0.000 0.500
Al 0.000 0.500 0.000
Al 0.000 0.500 0.500
Al 0.500 0.000 0.000
Al 0.500 0.000 0.500
Al 0.500 0.500 0.000
Al 0.500 0.500 0.500
V 0.125 0.250 0.375
V 0.125 0.375 0.750
V 0.250 0.375 0.125
V 0.250 0.875 0.625
V 0.375 0.125 0.250
V 0.375 0.750 0.125
V 0.625 0.250 0.875
V 0.625 0.875 0.750
V 0.750 0.125 0.375
V 0.750 0.625 0.875
V 0.875 0.625 0.250
V 0.875 0.750 0.625
Si 0.125 0.750 0.875
Si 0.125 0.875 0.250
Si 0.250 0.125 0.875
Si 0.250 0.625 0.375
Si 0.375 0.250 0.625
Si 0.375 0.625 0.750
Si 0.625 0.375 0.250
Si 0.625 0.750 0.375
Si 0.750 0.375 0.625
Si 0.750 0.875 0.125
Si 0.875 0.125 0.750
Si 0.875 0.250 0.125
O 0.016 0.202 0.120
O 0.016 0.314 0.896
O 0.082 0.702 0.686
O 0.082 0.880 0.396
O 0.104 0.620 0.418
O 0.104 0.984 0.686
O 0.120 0.016 0.202
O 0.120 0.604 0.918
O 0.186 0.202 0.582
O 0.186 0.484 0.604
O 0.202 0.120 0.016
O 0.202 0.582 0.186
O 0.298 0.314 0.918
O 0.298 0.484 0.380
O 0.314 0.896 0.016
O 0.314 0.918 0.298
O 0.380 0.298 0.484
O 0.380 0.582 0.896
O 0.396 0.082 0.880
O 0.396 0.814 0.516
O 0.418 0.104 0.620
O 0.418 0.814 0.798
O 0.484 0.380 0.298
O 0.484 0.604 0.186
O 0.516 0.396 0.814
O 0.516 0.620 0.702
O 0.582 0.186 0.202
O 0.582 0.896 0.380
O 0.604 0.186 0.484
O 0.604 0.918 0.120
O 0.620 0.418 0.104
O 0.620 0.702 0.516
O 0.686 0.082 0.702
O 0.686 0.104 0.984
O 0.702 0.516 0.620
O 0.702 0.686 0.082
O 0.798 0.418 0.814
O 0.798 0.880 0.984
O 0.814 0.516 0.396
O 0.814 0.798 0.418
O 0.880 0.396 0.082
O 0.880 0.984 0.798
O 0.896 0.016 0.314
O 0.896 0.380 0.582
O 0.918 0.120 0.604
O 0.918 0.298 0.314
O 0.984 0.686 0.104
O 0.984 0.798 0.880

Summary:
The uncorrected energy comes out at -11.444 eV per atom. As for the uncorrected formation energy: -270.6 kJ/mol of atoms.